No. 1
DFT (GGA-PBE) results for a relaxed KNaPdPb crystal.

Cell: 5.253 5.253 5.253 Å, 60.00 60.00 60.00°
Fractional positions:
Pd  0.500  0.500  0.500
K  0.750  0.750  0.750
Na  0.000  0.000  0.000
Pb  0.250  0.250  0.250

Output
D(E_F), states/eV/f.u.: 2.8
Space-group type: F-43m (216)
Calculated volume, Å³/f.u.: 102.5
Energy relative to the lowest polymorph listed for this composition, eV per formula unit: 0.52

No. 2
DFT (GGA-PBE) results for a relaxed KNaPdPb crystal.

Cell: 4.820 4.820 6.909 Å, 69.59 69.59 60.00°
Fractional positions:
Pd  0.282  0.282  0.155
Pb  0.606  0.606  0.183
K  0.819  0.819  0.544
Na  0.020  0.020  0.941

Output
D(E_F), states/eV/f.u.: 1.8
Space-group type: R3m (160)
Calculated volume, Å³/f.u.: 127.2
Energy relative to the lowest polymorph listed for this composition, eV per formula unit: 0.00

No. 3
DFT (GGA-PBE) results for a relaxed KNa2PtPb crystal.

Cell: 5.653 5.653 5.229 Å, 90.00 90.00 90.00°
Fractional positions:
Pt  0.000  0.000  0.000
Na  0.500  0.000  0.000
Na  0.000  0.500  0.000
Pb  0.000  0.000  0.500
K  0.500  0.500  0.500

Output
D(E_F), states/eV/f.u.: 2.0
Space-group type: P4/mmm (123)
Calculated volume, Å³/f.u.: 167.1
Uncorrected energy, eV/cell: -14.3

No. 4
DFT (GGA-PBE) results for a relaxed K2NaPtPb crystal.

Cell: 6.230 6.230 5.261 Å, 90.00 90.00 90.00°
Fractional positions:
Pb  0.000  0.000  0.500
Na  0.500  0.500  0.500
K  0.000  0.500  0.000
K  0.500  0.000  0.000
Pt  0.000  0.000  0.000

Output
D(E_F), states/eV/f.u.: 2.0
Space-group type: P4/mmm (123)
Calculated volume, Å³/f.u.: 204.2
Uncorrected energy, eV/cell: -13.6

No. 5
DFT (GGA-PBE) results for a relaxed KRbNaPb crystal.

Cell: 6.142 6.142 6.142 Å, 60.00 60.00 60.00°
Site moments in Bohr magnetons follow the coordinates.
Fractional positions:
Rb  0.000  0.000  0.000  0.01
Pb  0.500  0.500  0.500  0.25
K  0.750  0.750  0.750  0.02
Na  0.250  0.250  0.250  0.00

Output
D(E_F), states/eV/f.u.: 3.1
Space-group type: F-43m (216)
Calculated volume, Å³/f.u.: 163.9
Uncorrected energy, eV/cell: -7.3

No. 6
DFT (GGA-PBE) results for a relaxed K2RbNaPb crystal.

Cell: 6.717 6.717 5.929 Å, 90.00 90.00 90.00°
Fractional positions:
K  0.000  0.500  0.000
K  0.500  0.000  0.000
Rb  0.500  0.500  0.500
Pb  0.000  0.000  0.500
Na  0.000  0.000  0.000

Output
D(E_F), states/eV/f.u.: 4.9
Space-group type: P4/mmm (123)
Calculated volume, Å³/f.u.: 267.5
Energy relative to the lowest polymorph listed for this composition, eV per formula unit: 0.41

No. 7
DFT (GGA-PBE) results for a relaxed K2RbNaPb crystal.

Cell: 6.932 6.932 6.234 Å, 90.00 90.00 90.00°
Fractional positions:
K  0.000  0.500  0.000
K  0.500  0.000  0.000
Na  0.000  0.000  0.500
Pb  0.000  0.000  0.000
Rb  0.500  0.500  0.500

Output
D(E_F), states/eV/f.u.: 3.9
Space-group type: P4/mmm (123)
Calculated volume, Å³/f.u.: 299.6
Energy relative to the lowest polymorph listed for this composition, eV per formula unit: 0.00

No. 8
DFT (GGA-PBE) results for a relaxed KNa2RhPb crystal.

Cell: 5.608 5.608 5.192 Å, 90.00 90.00 90.00°
Fractional positions:
Na  0.000  0.500  0.000
Na  0.500  0.000  0.000
Rh  0.000  0.000  0.000
Pb  0.000  0.000  0.500
K  0.500  0.500  0.500

Output
D(E_F), states/eV/f.u.: 2.9
Space-group type: P4/mmm (123)
Calculated volume, Å³/f.u.: 163.3
Uncorrected energy, eV/cell: -14.7

No. 9
DFT (GGA-PBE) results for a relaxed KNaPbS2 crystal.

Cell: 4.595 8.160 9.127 Å, 94.22 90.00 106.35°
Fractional positions:
Na  0.692  0.384  0.058
Na  0.308  0.616  0.942
K  0.313  0.625  0.331
K  0.687  0.375  0.669
S  0.128  0.257  0.942
S  0.872  0.743  0.058
S  0.648  0.296  0.333
S  0.352  0.704  0.667
Pb  0.057  0.115  0.211
Pb  0.943  0.885  0.789

Output
D(E_F), states/eV/f.u.: 0.0
Space-group type: C2/m (12)
Calculated volume, Å³/f.u.: 163.7
Energy relative to the elements, uncorrected, meV per atom: -827

No. 10
DFT (GGA-PBE) results for a relaxed KNaSbPb crystal.

Cell: 5.689 5.689 5.689 Å, 60.00 60.00 60.00°
Fractional positions:
Pb  0.250  0.250  0.250
K  0.750  0.750  0.750
Na  0.500  0.500  0.500
Sb  0.000  0.000  0.000

Output
D(E_F), states/eV/f.u.: 1.0
Space-group type: F-43m (216)
Calculated volume, Å³/f.u.: 130.2
Energy relative to the elements, uncorrected, meV per atom: -183

No. 11
DFT (GGA-PBE) results for a relaxed KNaPbSe2 crystal.

Cell: 4.758 8.495 9.517 Å, 95.00 90.00 106.26°
Fractional positions:
Se  0.648  0.296  0.333
Se  0.872  0.744  0.072
Se  0.352  0.704  0.667
Se  0.128  0.256  0.928
K  0.687  0.375  0.671
K  0.313  0.625  0.329
Pb  0.940  0.881  0.797
Pb  0.060  0.119  0.203
Na  0.309  0.618  0.944
Na  0.691  0.382  0.056

Output
D(E_F), states/eV/f.u.: 0.0
Space-group type: C2/m (12)
Calculated volume, Å³/f.u.: 183.9
Energy relative to the elements, uncorrected, meV per atom: -840

No. 12
DFT (GGA-PBE) results for a relaxed KNa2TiPb crystal.

Cell: 6.018 5.564 6.018 Å, 90.00 90.00 90.00°
Site moments in Bohr magnetons follow the coordinates.
Fractional positions:
Na  0.500  0.000  0.000  0.00
Na  0.000  0.000  0.500  -0.01
Ti  0.000  0.500  0.000  1.67
K  0.500  0.500  0.500  0.02
Pb  0.000  0.000  0.000  -0.03

Output
D(E_F), states/eV/f.u.: 5.4
Space-group type: P4/mmm (123)
Calculated volume, Å³/f.u.: 201.5
Uncorrected energy, eV/cell: -13.4

What density values result from the calculations? In sequence: 6.086, 4.903, 4.843, 4.094, 3.595, 2.445, 2.183, 4.019, 3.382, 4.988, 3.858, 2.803 g/cm³.
What magnetization values result from the calculations? In sequence: 0.0, 0.0, 0.0, 0.0, 1.0, 0.0, 0.0, 0.0, 0.0, 0.0, 0.0, 2.5 μB per formula unit.